Record 1
The following is a GGA-PBE calculation of a relaxed structure of ReWSe2, from Alexandria.

Output
**Uncorrected formation energy**: 0.90 eV per atom
**Space-group type**: I-42d (122)
**Energy above the lowest structure with this stoichiometry**: 0.889 eV/atom
**Total moment**: 0.379 μB/atom

Cell lengths 5.607, 5.607, 6.886 Å; angles 65.97, 65.97, 90.00 degrees
Last column: magnetic moment on the atom in μB.
Fractional positions:
Se (0.634, 0.125, 0.250)  -0.01
Se (0.875, 0.884, 0.750)  -0.01
Se (0.375, 0.366, 0.750)  -0.01
Se (0.116, 0.625, 0.250)  -0.01
W (0.250, 0.750, 0.500)  1.03
W (0.500, 0.500, 0.000)  1.02
Re (0.750, 0.250, 0.500)  0.20
Re (0.000, 0.000, 0.000)  0.20

---

Record 2
The following is a GGA-PBE calculation of a relaxed structure of BaScTc2, from Alexandria.

Output
**Calculated formation energy**: 0.2809 eV/atom
**Space-group type**: P4mm (99)
**Energy above the lowest structure with this stoichiometry**: 0.047 eV/atom
**Total moment**: 0.000 μB/atom

Cell lengths 3.217, 3.217, 8.895 Å; angles 90.00, 90.00, 90.00 degrees
Fractional positions:
Tc (0.500, 0.500, 0.174)
Tc (0.000, 0.000, 0.030)
Sc (0.500, 0.500, 0.837)
Ba (0.000, 0.000, 0.459)

---

Record 3
The following is a GGA-PBE calculation of a relaxed structure of Rb3TiN, from Alexandria.

Output
**Uncorrected formation energy**: 1.23 eV per atom
**Space-group type**: Pm-3m (221)
**Energy above the lowest structure with this stoichiometry**: 0.000 eV/atom
**Total moment**: 0.580 μB/atom

Cell lengths 5.955, 5.955, 5.955 Å; angles 90.00, 90.00, 90.00 degrees
Last column: magnetic moment on the atom in μB.
Fractional positions:
Ti (0.500, 0.500, 0.500)  2.05
Rb (0.500, 0.000, 0.000)  0.00
Rb (0.000, 0.500, 0.000)  0.01
Rb (0.000, 0.000, 0.500)  0.02
N (0.000, 0.000, 0.000)  0.05

---

Record 4
The following is a GGA-PBE calculation of a relaxed structure of ThZnRu, from Alexandria.

Output
**Calculated formation energy**: -0.4178 eV/atom
**Space-group type**: Cmcm (63)
**Total moment**: 0.000 μB/atom

Cell lengths 4.313, 5.548, 5.482 Å; angles 90.00, 90.00, 112.87 degrees
Fractional positions:
Ru (0.898, 0.797, 0.750)
Ru (0.102, 0.203, 0.250)
Th (0.801, 0.602, 0.250)
Th (0.199, 0.398, 0.750)
Zn (0.500, 0.000, 0.500)
Zn (0.500, 0.000, 0.000)

---

Record 5
The following is a GGA-PBE calculation of a relaxed structure of BaNa2SbN, from Alexandria.

Output
**Uncorrected formation energy**: 0.64 eV per atom
**Space-group type**: P4/mmm (123)
**Energy above the lowest structure with this stoichiometry**: 0.120 eV/atom
**Total moment**: 0.018 μB/atom

Cell lengths 6.483, 4.346, 6.483 Å; angles 90.00, 90.00, 90.00 degrees
Fractional positions:
Na (0.000, 0.000, 0.500)
Na (0.500, 0.000, 0.000)
Sb (0.500, 0.500, 0.500)
Ba (0.000, 0.000, 0.000)
N (0.000, 0.500, 0.000)

---

Record 6
The following is a GGA-PBE calculation of a relaxed structure of Dy2Ga3Ni4Ru, from Alexandria.

Output
**Calculated formation energy**: -0.4826 eV/atom
**Space-group type**: P-4m2 (115)
**Total moment**: 0.000 μB/atom

Cell lengths 3.888, 3.888, 10.646 Å; angles 90.00, 90.00, 90.00 degrees
Fractional positions:
Ni (0.000, 0.500, 0.355)
Ni (0.500, 0.000, 0.645)
Ni (0.500, 0.500, 0.000)
Ni (0.000, 0.000, 0.000)
Ru (0.500, 0.500, 0.500)
Ga (0.500, 0.000, 0.868)
Ga (0.000, 0.500, 0.132)
Ga (0.000, 0.000, 0.500)
Dy (0.000, 0.500, 0.742)
Dy (0.500, 0.000, 0.258)

---

Record 7
The following is a GGA-PBE calculation of a relaxed structure of Al6ZnPd12, from Alexandria.

Output
**Calculated formation energy**: -0.5136 eV/atom
**Space-group type**: R-3 (148)
**Total moment**: 0.000 μB/atom

Cell lengths 7.053, 7.053, 7.053 Å; angles 100.02, 100.02, 100.02 degrees
Fractional positions:
Al (0.464, 0.726, 0.848)
Al (0.274, 0.152, 0.536)
Al (0.152, 0.536, 0.274)
Al (0.848, 0.464, 0.726)
Al (0.536, 0.274, 0.152)
Al (0.726, 0.848, 0.464)
Pd (0.974, 0.127, 0.681)
Pd (0.821, 0.521, 0.389)
Pd (0.026, 0.873, 0.319)
Pd (0.389, 0.821, 0.521)
Pd (0.319, 0.026, 0.873)
Pd (0.127, 0.681, 0.974)
Pd (0.873, 0.319, 0.026)
Pd (0.179, 0.479, 0.611)
Pd (0.611, 0.179, 0.479)
Pd (0.681, 0.974, 0.127)
Pd (0.521, 0.389, 0.821)
Pd (0.479, 0.611, 0.179)
Zn (0.000, 0.000, 0.000)

---

Record 8
The following is a GGA-PBE calculation of a relaxed structure of Cu2WSe, from Alexandria.

Output
**Uncorrected formation energy**: 0.65 eV per atom
**Space-group type**: I4/mmm (139)
**Total moment**: 0.000 μB/atom

Cell lengths 5.140, 5.140, 5.140 Å; angles 138.71, 138.71, 59.82 degrees
Fractional positions:
Cu (0.000, 0.000, 0.000)
Cu (0.500, 0.500, 0.000)
Se (0.750, 0.250, 0.500)
W (0.250, 0.750, 0.500)

---

Record 9
The following is a GGA-PBE calculation of a relaxed structure of LaTi2CdSn, from Alexandria.

Output
**Calculated formation energy**: 0.6573 eV/atom
**Space-group type**: P4/mmm (123)
**Total moment**: 0.886 μB/atom

Cell lengths 5.216, 5.359, 5.216 Å; angles 90.00, 90.00, 90.00 degrees
Last column: magnetic moment on the atom in μB.
Fractional positions:
Cd (0.000, 0.000, 0.000)  0.07
Ti (0.000, 0.000, 0.500)  1.44
Ti (0.500, 0.000, 0.000)  1.46
Sn (0.000, 0.500, 0.000)  -0.06
La (0.500, 0.500, 0.500)  0.26

---

Record 10
The following is a GGA-PBE calculation of a relaxed structure of Ce3CoSb, from Alexandria.

Output
**Uncorrected formation energy**: -0.44 eV per atom
**Space-group type**: Pm-3m (221)
**Energy above the lowest structure with this stoichiometry**: 0.094 eV/atom
**Total moment**: 0.518 μB/atom

Cell lengths 5.121, 5.121, 5.121 Å; angles 90.00, 90.00, 90.00 degrees
Last column: magnetic moment on the atom in μB.
Fractional positions:
Ce (0.000, 0.500, 0.000)  0.71
Ce (0.000, 0.000, 0.500)  0.71
Ce (0.500, 0.000, 0.000)  0.71
Sb (0.500, 0.500, 0.500)  -0.03
Co (0.000, 0.000, 0.000)  -0.08

---

Record 11
The following is a GGA-PBE calculation of a relaxed structure of Sr2URuO6, from Alexandria.

Output
**Uncorrected formation energy**: -2.47 eV per atom
**Space-group type**: P4/mmm (123)
**Total moment**: 0.163 μB/atom

Cell lengths 4.203, 4.203, 8.353 Å; angles 90.00, 90.00, 90.00 degrees
Last column: magnetic moment on the atom in μB.
Fractional positions:
U (0.500, 0.500, 0.000)  0.87
Sr (0.000, 0.000, 0.299)  0.00
Sr (0.000, 0.000, 0.701)  0.00
Ru (0.500, 0.500, 0.500)  0.60
O (0.500, 0.500, 0.253)  -0.02
O (0.000, 0.500, 0.000)  -0.02
O (0.500, 0.500, 0.747)  -0.02
O (0.500, 0.000, 0.000)  -0.02
O (0.500, 0.000, 0.500)  0.07
O (0.000, 0.500, 0.500)  0.07

---

Record 12
The following is a GGA-PBE calculation of a relaxed structure of ThMg2In2Ni, from Alexandria.

Output
**Calculated formation energy**: -0.0256 eV/atom
**Space-group type**: I4/mmm (139)
**Total moment**: 0.000 μB/atom

Cell lengths 4.025, 4.025, 9.706 Å; angles 101.97, 101.97, 90.00 degrees
Fractional positions:
Th (0.500, 0.500, 0.000)
In (0.866, 0.866, 0.733)
In (0.134, 0.134, 0.267)
Mg (0.250, 0.750, 0.500)
Mg (0.750, 0.250, 0.500)
Ni (0.000, 0.000, 0.000)